DFT (SCAN) results for a crystal of InTe2N2 relaxed with PBEsol.

Computed properties:
Space-group type: P4/mmm, No. 123
Calculated total energy, eV per atom: -23.4747
Fermi-level density of states, states/eV per atom: 0.61

Unit cell a=3.9430 b=5.8380 c=5.8380 alpha=90.00 beta=90.00 gamma=90.00
Last column: nearest neighbours and their distance in Å.
Element x y z (fractional)
In 0.0000 0.0000 0.0000  2 N 1.97
Te 0.0000 0.0000 0.5000  2 In 2.92
Te 0.0000 0.5000 0.0000  2 In 2.92
N 0.5000 0.5000 0.5000  8 Te 3.52, 2 N 3.94
N 0.5000 0.0000 0.0000  2 In 1.97